SiO2F2: relaxed, PBE-GGA.

Summary:
The raw formation energy is -998 meV per atom. The relative energy among the computed polymorphs is 418 meV/atom. For the final energy, the calculation gives -4.81 eV/atom. The value obtained for the volume is 15.9 A^3/atom.

Lattice parameters (Å, degrees): 5.485 5.485 5.280 90.00 90.00 90.00
Space group P4/mbm (No. 127)
Symmetry-distinct sites (fractional):
Si 0.000 0.000 0.000 x2
O 0.081 0.419 0.500 x4
F 0.228 0.728 0.000 x4